# 1
LaTb2Be: optimized geometry, GGA-PBE.

The volume comes out at 27.16 Å³/atom. The crystal system is tetragonal. Its raw total energy is -17.6 eV/cell. Its calculated formation energy is 0.31 eV per formula unit.

The space group is P4/mmm (No. 123) and the conventional cell measures 3.488, 3.488 and 8.930 Å, with angles of 90.00, 90.00 and 90.00 degrees. The inequivalent atoms are La at (0.000, 0.000, 0.000), Tb at (0.500, 0.500, 0.317) and Be at (0.000, 0.000, 0.500).

---

# 2
La2TmPuSe4: optimized geometry, GGA-PBE.

The volume comes out at 26.15 Å³/atom. The crystal system is monoclinic. Its raw total energy is -57.1 eV/cell.

The space group is P2/m (No. 10) and the conventional cell measures 7.250, 4.168 and 7.325 Å, with angles of 90.00, 109.06 and 90.00 degrees. The inequivalent atoms are La at (0.000, 0.000, 0.000), La at (0.500, 0.500, 0.000), Tm at (0.000, 0.500, 0.500), Pu at (0.500, 0.000, 0.500), Se at (0.238, 0.000, 0.730) and Se at (0.250, 0.500, 0.267).

---

# 3
MgScTc2: optimized geometry, GGA-PBE.

The volume comes out at 17.42 Å³/atom. The crystal system is orthorhombic. Its raw total energy is -56.1 eV/cell. Its calculated formation energy is 0.62 eV per formula unit.

The space group is Cmm2 (No. 35) and the conventional cell measures 3.231, 4.649 and 9.277 Å, with angles of 90.00, 90.00 and 90.00 degrees. The inequivalent atoms are Mg at (0.000, 0.000, 0.000), Sc at (0.000, 0.500, 0.700), Tc at (0.000, 0.000, 0.465) and Tc at (0.000, 0.500, 0.249).

---

# 4
SmTmZnRu: optimized geometry, GGA-PBE.

The volume comes out at 22.43 Å³/atom. The crystal system is orthorhombic. Its raw total energy is -42.0 eV/cell. Its calculated formation energy is -1.24 eV per formula unit.

The space group is Amm2 (No. 38) and the conventional cell measures 4.289, 3.943 and 10.613 Å, with angles of 90.00, 90.00 and 90.00 degrees. The inequivalent atoms are Sm at (0.000, 0.000, 0.000), Tm at (0.500, 0.000, 0.716), Zn at (0.500, 0.000, 0.421) and Ru at (0.000, 0.000, 0.277).

---

# 5
KMgAs2: optimized geometry, GGA-PBE.

The volume comes out at 31.08 Å³/atom. The crystal system is tetragonal. Its raw total energy is -52.1 eV/cell. Its calculated formation energy is -1.03 eV per formula unit.

The space group is I-42d (No. 122) and the conventional cell measures 5.346, 5.346 and 17.400 Å, with angles of 90.00, 90.00 and 90.00 degrees. The inequivalent atoms are K at (0.000, 0.000, 0.000), Mg at (0.000, 0.000, 0.500) and As at (0.079, 0.250, 0.625).

---

# 6
HoMg2Cd: optimized geometry, GGA-PBE.

The volume comes out at 24.36 Å³/atom. The crystal system is tetragonal. Its raw total energy is -9.3 eV/cell. Its calculated formation energy is -0.64 eV per formula unit.

The space group is P4/mmm (No. 123) and the conventional cell measures 4.479, 4.479 and 4.857 Å, with angles of 90.00, 90.00 and 90.00 degrees. The inequivalent atoms are Ho at (0.000, 0.000, 0.000), Mg at (0.000, 0.500, 0.500) and Cd at (0.500, 0.500, 0.000).

---

# 7
LaVCd2Se: optimized geometry, GGA-PBE.

The volume comes out at 27.93 Å³/atom. The crystal system is tetragonal. Its raw total energy is -18.0 eV/cell.

The space group is P4/mmm (No. 123) and the conventional cell measures 5.461, 5.461 and 4.682 Å, with angles of 90.00, 90.00 and 90.00 degrees. The inequivalent atoms are La at (0.000, 0.000, 0.000), V at (0.500, 0.500, 0.000), Cd at (0.000, 0.500, 0.500) and Se at (0.500, 0.500, 0.500).

---

# 8
TcPb3: optimized geometry, GGA-PBE.

The volume comes out at 25.76 Å³/atom. The crystal system is trigonal. Its raw total energy is -59.3 eV/cell. Its calculated formation energy is 1.72 eV per formula unit.

The space group is R-3m (No. 166, hexagonal axes) and the conventional cell measures 3.3477, 3.3477 and 31.8451 Å, with angles of 90.00, 90.00 and 120.00 degrees. The inequivalent atoms are Tc at (0.0000, 0.0000, 0.0000), Pb at (0.0000, 0.0000, 0.2664) and Pb at (0.0000, 0.0000, 0.5000).

---

# 9
Ac2Zn4InGe3: optimized geometry, GGA-PBE.

The volume comes out at 22.04 Å³/atom. The crystal system is tetragonal. Its raw total energy is -34.0 eV/cell. Its calculated formation energy is -4.12 eV per formula unit.

The space group is P-4m2 (No. 115) and the conventional cell measures 4.561, 4.561 and 10.593 Å, with angles of 90.00, 90.00 and 90.00 degrees. The inequivalent atoms are Ac at (0.000, 0.500, 0.244), Zn at (0.000, 0.000, 0.000), Zn at (0.000, 0.500, 0.636), Zn at (0.500, 0.500, 0.000), In at (0.000, 0.000, 0.500), Ge at (0.000, 0.500, 0.873) and Ge at (0.500, 0.500, 0.500).

---

# 10
AcMg3Hg: optimized geometry, GGA-PBE.

The volume comes out at 27.66 Å³/atom. The crystal system is orthorhombic. Its raw total energy is -40.9 eV/cell. Its calculated formation energy is -1.03 eV per formula unit.

The space group is Pnma (No. 62) and the conventional cell measures 9.442, 4.673 and 12.538 Å, with angles of 90.00, 90.00 and 90.00 degrees. The inequivalent atoms are Ac at (0.178, 0.250, 0.000), Mg at (0.059, 0.250, 0.407), Mg at (0.105, 0.750, 0.225), Mg at (0.142, 0.750, 0.784) and Hg at (0.123, 0.250, 0.630).

---

# 11
Ga2Re4C: optimized geometry, GGA-PBE.

The volume comes out at 14.97 Å³/atom. The crystal system is tetragonal. Its raw total energy is -122.3 eV/cell. Its calculated formation energy is 3.90 eV per formula unit.

The space group is I4/mmm (No. 139) and the conventional cell measures 4.036, 4.036 and 12.868 Å, with angles of 90.00, 90.00 and 90.00 degrees. The inequivalent atoms are Ga at (0.000, 0.000, 0.144), Re at (0.000, 0.000, 0.340), Re at (0.000, 0.500, 0.000) and C at (0.000, 0.000, 0.500).

---

# 12
LiAc3Sn3: optimized geometry, GGA-PBE.

The volume comes out at 32.70 Å³/atom. The crystal system is monoclinic. Its raw total energy is -123.7 eV/cell. Its calculated formation energy is -4.67 eV per formula unit.

The space group is C2/m (No. 12) and the conventional cell measures 12.283, 4.953 and 16.029 Å, with angles of 90.00, 110.14 and 90.00 degrees. The inequivalent atoms are Li at (0.245, 0.000, 0.406), Ac at (0.036, 0.500, 0.384), Ac at (0.096, 0.500, 0.920), Ac at (0.250, 0.000, 0.775), Sn at (0.044, 0.000, 0.236), Sn at (0.123, 0.000, 0.076) and Sn at (0.132, 0.000, 0.548).

---

# 13
CsAc2F7: optimized geometry, GGA-PBE.

The volume comes out at 18.79 Å³/atom. The crystal system is tetragonal. Its raw total energy is -120.9 eV/cell.

The space group is I4/mmm (No. 139) and the conventional cell measures 4.481, 4.481 and 18.715 Å, with angles of 90.00, 90.00 and 90.00 degrees. The inequivalent atoms are Cs at (0.000, 0.000, 0.000), Ac at (0.000, 0.000, 0.343), F at (0.000, 0.000, 0.500), F at (0.000, 0.500, 0.109) and F at (0.000, 0.500, 0.250).

---

# 14
Tb6Ge2Se3I: optimized geometry, GGA-PBE.

The volume comes out at 26.03 Å³/atom. The crystal system is monoclinic. Its raw total energy is -131.0 eV/cell.

The space group is C2/m (No. 12) and the conventional cell measures 18.169, 4.165 and 8.446 Å, with angles of 90.00, 102.17 and 90.00 degrees. The inequivalent atoms are Tb at (0.009, 0.000, 0.285), Tb at (0.170, 0.500, 0.577), Tb at (0.179, 0.500, 0.109), Ge at (0.168, 0.000, 0.334), Se at (0.000, 0.500, 0.500), Se at (0.159, 0.000, 0.838) and I at (0.000, 0.500, 0.000).

---

# 15
SrZr3Au: optimized geometry, GGA-PBE.

The volume comes out at 26.50 Å³/atom. The crystal system is cubic. Its raw total energy is -21.5 eV/cell. Its calculated formation energy is 9.11 eV per formula unit.

The space group is Pm-3m (No. 221) and the conventional cell measures 5.098, 5.098 and 5.098 Å, with angles of 90.00, 90.00 and 90.00 degrees. The inequivalent atoms are Sr at (0.000, 0.000, 0.000), Zr at (0.000, 0.000, 0.500) and Au at (0.500, 0.500, 0.500).

---

# 16
Rb3Zn2AgF9: optimized geometry, GGA-PBE.

The volume comes out at 15.62 Å³/atom. The crystal system is trigonal. Its raw total energy is -59.6 eV/cell.

The space group is P-3m1 (No. 164) and the conventional cell measures 6.0358, 6.0358 and 7.4240 Å, with angles of 90.00, 90.00 and 120.00 degrees. The inequivalent atoms are Rb at (0.0000, 0.0000, 0.0000), Rb at (0.3333, 0.6667, 0.6632), Zn at (0.3333, 0.6667, 0.1561), Ag at (0.0000, 0.0000, 0.5000), F at (0.0000, 0.5000, 0.0000) and F at (0.1754, 0.3508, 0.3199).

---

# 17
MgBeS2: optimized geometry, GGA-PBE.

The volume comes out at 18.63 Å³/atom. The crystal system is trigonal. Its raw total energy is -54.2 eV/cell.

The space group is R3m (No. 160, hexagonal axes) and the conventional cell measures 3.7186, 3.7186 and 18.6650 Å, with angles of 90.00, 90.00 and 120.00 degrees. The inequivalent atoms are Mg at (0.0000, 0.0000, 0.0000), Be at (0.0000, 0.0000, 0.5001), S at (0.0000, 0.0000, 0.3883) and S at (0.0000, 0.0000, 0.8684).

---

# 18
LiMnN2: optimized geometry, GGA-PBE.

The volume comes out at 8.94 Å³/atom. The crystal system is trigonal. Its raw total energy is -85.7 eV/cell.

The space group is R3m (No. 160, hexagonal axes) and the conventional cell measures 2.8496, 2.8496 and 15.2509 Å, with angles of 90.00, 90.00 and 120.00 degrees. The inequivalent atoms are Li at (0.0000, 0.0000, 0.0000), Mn at (0.0000, 0.0000, 0.1726), N at (0.0000, 0.0000, 0.5745) and N at (0.0000, 0.0000, 0.7680).

---

# 19
SrTiMoS2: optimized geometry, GGA-PBE.

The volume comes out at 22.73 Å³/atom. The crystal system is tetragonal. Its raw total energy is -29.7 eV/cell.

The space group is P4/mmm (No. 123) and the conventional cell measures 4.931, 4.931 and 4.673 Å, with angles of 90.00, 90.00 and 90.00 degrees. The inequivalent atoms are Sr at (0.000, 0.000, 0.000), Ti at (0.500, 0.500, 0.500), Mo at (0.500, 0.500, 0.000) and S at (0.000, 0.500, 0.500).

---

# 20
Na2NpUO8: optimized geometry, GGA-PBE.

The volume comes out at 15.16 Å³/atom. The crystal system is monoclinic. Its raw total energy is -95.5 eV/cell.

The space group is P2/m (No. 10) and the conventional cell measures 5.106, 6.972 and 5.117 Å, with angles of 90.00, 92.92 and 90.00 degrees. The inequivalent atoms are Na at (0.000, 0.249, 0.000), Np at (0.500, 0.000, 0.500), U at (0.500, 0.500, 0.500), O at (0.233, 0.500, 0.234), O at (0.236, 0.000, 0.237) and O at (0.329, 0.243, 0.671).

---

# 21
TbNd2Ho4Er2: optimized geometry, GGA-PBE.

The volume comes out at 32.13 Å³/atom. The crystal system is triclinic. Its raw total energy is -40.8 eV/cell. Its calculated formation energy is 0.78 eV per formula unit.

The space group is P-1 (No. 2) and the conventional cell measures 5.991, 6.595 and 8.541 Å, with angles of 79.99, 70.56 and 65.44 degrees. The inequivalent atoms are Tb at (0.000, 0.000, 0.000), Nd at (0.272, 0.674, 0.659), Ho at (0.258, 0.425, 0.113), Ho at (0.383, 0.874, 0.238) and Er at (0.177, 0.231, 0.556).

---

# 22
Tl2BiTe2O6: optimized geometry, GGA-PBE.

The volume comes out at 20.02 Å³/atom. The crystal system is monoclinic. Its raw total energy is -107.2 eV/cell.

The space group is C2/m (No. 12) and the conventional cell measures 9.846, 7.148 and 6.571 Å, with angles of 90.00, 107.79 and 90.00 degrees. The inequivalent atoms are Tl at (0.180, 0.000, 0.091), Bi at (0.000, 0.000, 0.500), Te at (0.045, 0.500, 0.271), O at (0.019, 0.215, 0.251) and O at (0.246, 0.500, 0.337).

---

# 23
AcPmHoSc: optimized geometry, GGA-PBE.

The volume comes out at 33.42 Å³/atom. The crystal system is cubic. Its raw total energy is -77.3 eV/cell. Its calculated formation energy is 0.45 eV per formula unit.

The space group is F-43m (No. 216) and the conventional cell measures 8.116, 8.116 and 8.116 Å, with angles of 90.00, 90.00 and 90.00 degrees. The inequivalent atoms are Ac at (0.000, 0.000, 0.000), Pm at (0.000, 0.000, 0.500), Ho at (0.250, 0.250, 0.750) and Sc at (0.250, 0.250, 0.250).

---

# 24
Ba2Sm2S5: optimized geometry, GGA-PBE.

The volume comes out at 26.34 Å³/atom. The crystal system is orthorhombic. Its raw total energy is -209.6 eV/cell.

The space group is Cmce (No. 64) and the conventional cell measures 15.246, 7.879 and 7.893 Å, with angles of 90.00, 90.00 and 90.00 degrees. The inequivalent atoms are Ba at (0.199, 0.000, 0.000), Sm at (0.000, 0.162, 0.337), S at (0.000, 0.000, 0.000) and S at (0.121, 0.150, 0.649).